DFT (PBE) results for a relaxed Y2CuPPb crystal.

a = 5.372 Å, b = 5.372 Å, c = 4.334 Å
α = 90.00°, β = 90.00°, γ = 90.00°
Fractional coordinates of all 5 atoms:
P 0.000 0.000 0.000
Pb 0.500 0.500 0.500
Y 0.000 0.500 0.000
Y 0.500 0.000 0.000
Cu 0.000 0.000 0.500

Calculated values
- SG: P4/mmm, No. 123
- Uncorrected energy: -5.852 eV per atom
- Spin magnetization: 0.00 μB/f.u.